A PBEsol-optimized structure of Sc2InSi. Source: Alexandria, functional meta-GGA SCAN.

```
Sc2InSi
1.0
1.654 0.955 9.669
-1.654 0.955 9.669
0.000 -1.909 9.669
Sc In Si
2 1 1
direct
0.102 0.102 0.102
0.898 0.898 0.898
0.000 0.000 0.000
0.500 0.500 0.500
```

Properties
Energy relative to the elements, uncorrected in eV per atom: -0.07
Density of states at the Fermi level in states/eV/atom: 0.7702



A PBEsol-optimized structure of ScInSi. Source: Alexandria, functional meta-GGA SCAN.

```
ScInSi
1.0
0.000 3.159 3.159
3.159 0.000 3.159
3.159 3.159 0.000
Sc In Si
1 1 1
direct
0.000 0.000 0.000
0.500 0.500 0.500
0.250 0.250 0.250
```

Properties
ΔE to the lowest computed polymorph in meV per atom: 51
Energy relative to the elements, uncorrected in eV per atom: -0.09
Density of states at the Fermi level in states/eV/atom: 0.7177



A PBEsol-optimized structure of Sc2InSi. Source: Alexandria, functional meta-GGA SCAN.

```
Sc2InSi
1.0
3.039 0.000 0.000
0.000 3.039 0.000
0.000 0.000 8.281
Sc In Si
2 1 1
direct
0.000 0.000 0.218
0.000 0.000 0.782
0.500 0.500 0.500
0.500 0.500 0.000
```

Properties
Energy relative to the elements, uncorrected in eV per atom: -0.56
Density of states at the Fermi level in states/eV/atom: 0.7068



A PBEsol-optimized structure of Sc2InSn. Source: Alexandria, functional meta-GGA SCAN.

```
Sc2InSn
1.0
1.658 0.957 10.445
-1.658 0.957 10.445
0.000 -1.914 10.445
Sc In Sn
2 1 1
direct
0.092 0.092 0.092
0.908 0.908 0.908
0.500 0.500 0.500
0.000 0.000 0.000
```

Properties
Total energy in eV/atom: -24.52
Density of states at the Fermi level in states/eV/atom: 0.5616



A PBEsol-optimized structure of SrSc2In. Source: Alexandria, functional meta-GGA SCAN.

```
SrSc2In
1.0
3.431 0.000 0.000
0.000 4.538 0.000
0.000 0.000 6.992
Sr Sc In
1 2 1
direct
0.000 0.000 0.000
0.000 0.000 0.483
0.500 0.500 0.689
0.500 0.500 0.273
```

Properties
ΔE to the lowest computed polymorph in meV per atom: 0
Density of states at the Fermi level in states/eV/atom: 0.6788



A PBEsol-optimized structure of SrSc2In. Source: Alexandria, functional meta-GGA SCAN.

```
SrSc2In
1.0
-2.341 2.341 4.767
2.341 -2.341 4.767
2.341 2.341 -4.767
Sr Sc In
1 2 1
direct
0.000 0.000 0.000
0.250 0.750 0.500
0.500 0.500 0.000
0.750 0.250 0.500
```

Properties
ΔE to the lowest computed polymorph in meV per atom: 85
Density of states at the Fermi level in states/eV/atom: 0.9789